Entry 1:
The following is a DFT calculation (PBE) of a geometry-optimized NaThAgI6 structure.

abc: 7.4952 7.4952 13.6591
angles: 90.00 90.00 90.00
Sites, in units of the cell vectors:
Na (0.0000, 0.0000, 0.0000)
Na (0.5000, 0.5000, 0.5000)
Th (0.0000, 0.0000, 0.6664)
Th (0.5000, 0.5000, 0.1664)
Ag (0.0000, 0.0000, 0.3336)
Ag (0.5000, 0.5000, 0.8336)
I (0.1949, 0.1949, 0.4981)
I (0.2051, 0.2051, 0.8251)
I (0.2077, 0.2077, 0.1723)
I (0.2923, 0.7077, 0.6723)
I (0.2949, 0.7051, 0.3251)
I (0.3051, 0.6949, 0.9981)
I (0.6949, 0.3051, 0.9981)
I (0.7051, 0.2949, 0.3251)
I (0.7077, 0.2923, 0.6723)
I (0.7923, 0.7923, 0.1723)
I (0.7949, 0.7949, 0.8251)
I (0.8051, 0.8051, 0.4981)

* formation energy (no corrections): -0.975 eV/atom
* crystal system: tetragonal
* space-group type: P4_2nm


Entry 2:
The following is a DFT calculation (PBE) of a geometry-optimized Na3TlAg2I6 structure.

abc: 10.9426 10.9426 9.2287
angles: 103.81 103.81 23.70
Sites, in units of the cell vectors:
Na (0.0000, 0.0000, 0.0000)
Na (0.3287, 0.3287, 0.6857)
Na (0.6713, 0.6713, 0.3143)
Tl (0.0000, 0.0000, 0.5000)
Ag (0.3052, 0.3052, 0.1717)
Ag (0.6948, 0.6948, 0.8283)
I (0.1658, 0.1658, 0.0430)
I (0.1750, 0.1750, 0.6002)
I (0.4786, 0.4786, 0.7604)
I (0.5214, 0.5214, 0.2396)
I (0.8250, 0.8250, 0.3998)
I (0.8342, 0.8342, 0.9570)

* formation energy (no corrections): -0.769 eV/atom
* crystal system: monoclinic
* space-group type: C2/m


Entry 3:
The following is a DFT calculation (PBE) of a geometry-optimized NaTl2AgI4 structure.

abc: 8.0912 4.6557 8.3968
angles: 90.00 108.84 90.00
Sites, in units of the cell vectors:
Na (0.0000, 0.0000, 0.0000)
Tl (0.0000, 0.5000, 0.5000)
Tl (0.5000, 0.0000, 0.5000)
Ag (0.5000, 0.5000, 0.0000)
I (0.2464, 0.5000, 0.2180)
I (0.2721, 0.0000, 0.7880)
I (0.7279, 0.0000, 0.2120)
I (0.7536, 0.5000, 0.7820)

* formation energy (no corrections): -0.670 eV/atom
* crystal system: monoclinic
* space-group type: P2/m


Entry 4:
The following is a DFT calculation (PBE) of a geometry-optimized NaTlAgI3 structure.

abc: 9.7640 4.6251 10.4784
angles: 90.00 103.64 90.00
Sites, in units of the cell vectors:
Na (0.1590, 0.2500, 0.1419)
Na (0.8410, 0.7500, 0.8581)
Tl (0.3078, 0.7500, 0.7890)
Tl (0.6922, 0.2500, 0.2110)
Ag (0.4250, 0.7500, 0.4185)
Ag (0.5750, 0.2500, 0.5815)
I (0.0613, 0.2500, 0.8301)
I (0.2706, 0.2500, 0.4782)
I (0.3945, 0.7500, 0.1382)
I (0.6055, 0.2500, 0.8618)
I (0.7294, 0.7500, 0.5218)
I (0.9387, 0.7500, 0.1699)

* formation energy (no corrections): -0.715 eV/atom
* crystal system: monoclinic
* space-group type: P2_1/m


Entry 5:
The following is a DFT calculation (PBE) of a geometry-optimized NaTl3Ag2I6 structure.

abc: 8.0127 8.0127 8.3686
angles: 99.29 99.29 119.74
Sites, in units of the cell vectors:
Na (0.0000, 0.0000, 0.0000)
Tl (0.1620, 0.8380, 0.5000)
Tl (0.5000, 0.5000, 0.5000)
Tl (0.8380, 0.1620, 0.5000)
Ag (0.3323, 0.6677, 0.0000)
Ag (0.6677, 0.3323, 0.0000)
I (0.0699, 0.4159, 0.2152)
I (0.2759, 0.2759, 0.7916)
I (0.4159, 0.0699, 0.2152)
I (0.5841, 0.9301, 0.7848)
I (0.7241, 0.7241, 0.2084)
I (0.9301, 0.5841, 0.7848)

* formation energy (no corrections): -0.580 eV/atom
* crystal system: monoclinic
* space-group type: C2/m


Entry 6:
The following is a DFT calculation (PBE) of a geometry-optimized NaTlAg2I4 structure.

abc: 7.4051 7.4051 7.4051
angles: 114.17 109.07 105.30
Sites, in units of the cell vectors:
Na (0.0000, 0.0000, 0.0000)
Tl (0.5000, 0.5000, 0.0000)
Ag (0.1662, 0.6662, 0.5000)
Ag (0.8338, 0.3338, 0.5000)
I (0.0154, 0.0596, 0.4460)
I (0.3865, 0.9404, 0.9558)
I (0.6135, 0.5693, 0.5540)
I (0.9846, 0.4307, 0.0442)

* formation energy (no corrections): -0.553 eV/atom
* crystal system: orthorhombic
* space-group type: I222


Entry 7:
The following is a DFT calculation (PBE) of a geometry-optimized NaTmAg2I6 structure.

abc: 7.7064 7.7111 8.3672
angles: 90.04 117.40 119.97
Sites, in units of the cell vectors:
Na (0.0000, 0.0000, 0.0000)
Tm (0.9861, 0.4932, 0.4787)
Ag (0.6225, 0.3118, 0.9329)
Ag (0.6374, 0.8195, 0.4563)
I (0.1344, 0.4266, 0.2215)
I (0.1354, 0.2390, 0.7109)
I (0.4728, 0.8967, 0.7108)
I (0.5142, 0.0882, 0.2219)
I (0.7959, 0.7085, 0.2222)
I (0.8150, 0.5766, 0.7111)

* formation energy (no corrections): -0.848 eV/atom
* crystal system: triclinic
* space-group type: P1


Entry 8:
The following is a DFT calculation (PBE) of a geometry-optimized NaUAgI6 structure.

abc: 7.6479 7.6479 14.6823
angles: 90.00 90.00 120.00
Sites, in units of the cell vectors:
Na (0.0000, 0.0000, 0.0000)
Na (0.0000, 0.0000, 0.5000)
U (0.3333, 0.6667, 0.2500)
U (0.6667, 0.3333, 0.7500)
Ag (0.3333, 0.6667, 0.7500)
Ag (0.6667, 0.3333, 0.2500)
I (0.0064, 0.3527, 0.1292)
I (0.0064, 0.6538, 0.3708)
I (0.3462, 0.3527, 0.3708)
I (0.3462, 0.9936, 0.1292)
I (0.3527, 0.0064, 0.6292)
I (0.3527, 0.3462, 0.8708)
I (0.6473, 0.6538, 0.1292)
I (0.6473, 0.9936, 0.3708)
I (0.6538, 0.0064, 0.8708)
I (0.6538, 0.6473, 0.6292)
I (0.9936, 0.3462, 0.6292)
I (0.9936, 0.6473, 0.8708)

* formation energy (no corrections): -0.759 eV/atom
* crystal system: trigonal
* space-group type: P-31c


Which of these has the lowest formation energy (no corrections)? NaThAgI6


Which value of formation energy (no corrections) does entry 4 give? -0.715 eV/atom


Number 2 is which compound? Na3TlAg2I6